(1)
CsInTeC2: optimized geometry, GGA-PBE.

a b c (Å): 4.9203 5.8699 4.9203
angles (deg): 90.00 90.00 90.00
Last column: nearest neighbours and their distance in Å.
Sites, in units of the cell vectors:
Te  0.0000  0.5000  0.0000  2 In 2.93
Cs  0.5000  0.5000  0.5000  4 Te 3.48, 8 C 3.83
In  0.0000  0.0000  0.0000  4 C 2.46
C  0.5000  0.0000  0.0000  2 In 2.46
C  0.0000  0.0000  0.5000  2 In 2.46

Properties
spin magnetization = 2.8 μB/cell
energy relative to the elements, uncorrected = 9.5 eV/f.u.
Fermi-level density of states = 5.0 states/eV/f.u.

=====

(2)
Be17AlMo: optimized geometry, GGA-PBE.

a b c (Å): 5.5322 5.5322 5.5322
angles (deg): 82.47 82.47 82.47
Last column: nearest neighbours and their distance in Å.
Sites, in units of the cell vectors:
Be  0.8346  0.3467  0.3467  9 Be 2.09-2.31
Be  0.0000  0.6970  0.3002  8 Be 2.08-2.23
Be  0.0998  0.0998  0.0998  7 Be 2.18-2.31
Be  0.6577  0.1565  0.6577  9 Be 2.08-2.24
Be  0.1565  0.6577  0.6577  9 Be 2.08-2.24
Be  0.6970  0.3002  0.0000  8 Be 2.08-2.23
Be  0.9913  0.9913  0.5013  10 Be 2.08-2.25
Be  0.0000  0.3002  0.6970  8 Be 2.08-2.23
Be  0.6577  0.6577  0.1565  9 Be 2.08-2.24
Be  0.5013  0.9913  0.9913  10 Be 2.08-2.25
Be  0.9913  0.5013  0.9913  10 Be 2.08-2.25
Be  0.3467  0.8346  0.3467  9 Be 2.09-2.31
Al  0.3621  0.3621  0.3621  13 Be 2.52-2.82
Be  0.8974  0.8974  0.8974  7 Be 2.18-2.24
Mo  0.6626  0.6626  0.6626  19 Be 2.53-2.81
Be  0.3002  0.6970  0.0000  8 Be 2.08-2.23
Be  0.3467  0.3467  0.8346  9 Be 2.09-2.31
Be  0.3002  0.0000  0.6970  8 Be 2.08-2.23
Be  0.6970  0.0000  0.3002  8 Be 2.08-2.23

Properties
spin magnetization = 0.0 μB/cell
Fermi-level density of states = 3.3 states/eV/f.u.
formation energy from the elements = -66 meV/atom

=====

(3)
SiNi2C: optimized geometry, GGA-PBE.

a b c (Å): 4.4982 4.4982 6.0037
angles (deg): 68.00 68.00 90.00
Last column: nearest neighbours and their distance in Å.
Sites, in units of the cell vectors:
Ni  0.2155  0.6250  0.2500  2 C 1.84
Ni  0.3750  0.4655  0.7500  2 C 1.84
Ni  0.8750  0.7845  0.7500  2 C 1.84
C  0.2500  0.7500  0.5000  4 Ni 1.84
C  0.5000  0.5000  0.0000  4 Ni 1.84
Si  0.7500  0.2500  0.5000  4 Ni 2.29
Ni  0.5345  0.1250  0.2500  2 C 1.84
Si  0.0000  0.0000  0.0000  4 Ni 2.29

Properties
spin magnetization = 0.0 μB/cell
energy relative to the elements, uncorrected = 1.8 eV/f.u.
Fermi-level density of states = 1.7 states/eV/f.u.

=====

(4)
Ba12In3O4: optimized geometry, GGA-PBE.

a b c (Å): 9.6588 9.6588 9.6588
angles (deg): 109.47 109.47 109.47
Last column: nearest neighbours and their distance in Å.
Sites, in units of the cell vectors:
Ba  0.7287  0.4920  0.7634  2 O 2.80
O  0.5000  0.5000  0.5000  6 Ba 2.80
Ba  0.2713  0.0347  0.7634  2 O 2.80
Ba  0.2366  0.2713  0.5080  2 O 2.80
O  0.0000  0.0000  0.5000  6 Ba 2.80
Ba  0.2366  0.7287  0.9653  2 O 2.80
Ba  0.5080  0.2366  0.2713  2 O 2.80
Ba  0.7287  0.9653  0.2366  2 O 2.80
O  0.5000  0.0000  0.0000  6 Ba 2.80
In  0.0000  0.5000  0.5000  8 Ba 3.67-3.89
Ba  0.7634  0.7287  0.4920  2 O 2.80
O  0.0000  0.5000  0.0000  6 Ba 2.80
Ba  0.4920  0.7634  0.7287  2 O 2.80
Ba  0.9653  0.2366  0.7287  2 O 2.80
Ba  0.7634  0.2713  0.0347  2 O 2.80
Ba  0.2713  0.5080  0.2366  2 O 2.80
In  0.5000  0.0000  0.5000  8 Ba 3.67-3.89
Ba  0.0347  0.7634  0.2713  2 O 2.80
In  0.5000  0.5000  0.0000  8 Ba 3.67-3.89

Properties
spin magnetization = 0.0 μB/cell
energy relative to the elements, uncorrected = -22.3 eV/f.u.
Fermi-level density of states = 13.2 states/eV/f.u.

=====

(5)
LiTm2Pu: optimized geometry, GGA-PBE.

a b c (Å): 3.3073 3.3073 11.9520
angles (deg): 82.05 82.05 60.00
Last column: nearest neighbours and their distance in Å.
Sites, in units of the cell vectors:
Pu  0.0000  0.0000  0.0000  2 Tm 3.23, 6 Pu 3.31
Tm  0.0912  0.0912  0.7264  1 Pu 3.23, 3 Li 3.28, 6 Tm 3.31
Tm  0.9088  0.9088  0.2736  1 Pu 3.23, 3 Li 3.28, 6 Tm 3.31
Li  0.5000  0.5000  0.5000  6 Tm 3.28, 6 Li 3.31

Properties
spin magnetization = 6.3 μB/cell
Fermi-level density of states = 10.7 states/eV/f.u.
formation energy from the elements = 366 meV/atom

=====

(6)
Ce4Sm3YTe8: optimized geometry, GGA-PBE.

a b c (Å): 8.8787 8.9554 8.8786
angles (deg): 119.71 120.00 90.00
Last column: nearest neighbours and their distance in Å.
Sites, in units of the cell vectors:
Ce  0.5000  0.0000  0.0000  6 Te 3.20
Ce  0.0000  0.0000  0.5000  6 Te 3.17
Te  0.2488  0.2561  0.0024  1 Y 3.11, 2 Sm 3.14, 3 Ce 3.17-3.20
Te  0.2464  0.7439  0.9976  1 Y 3.11, 2 Sm 3.14, 3 Ce 3.17-3.20
Te  0.7512  0.7439  0.9976  1 Y 3.11, 2 Sm 3.14, 3 Ce 3.17-3.20
Sm  0.5000  0.5000  0.5000  6 Te 3.14
Y  0.0000  0.5000  0.0000  6 Te 3.11
Te  0.2512  0.2537  0.5024  3 Sm 3.14, 3 Ce 3.17
Ce  0.0000  0.0000  0.0000  6 Te 3.17
Ce  0.5000  0.0000  0.5000  6 Te 3.17
Te  0.7536  0.2561  0.0024  1 Y 3.11, 2 Sm 3.14, 3 Ce 3.17-3.20
Te  0.2464  0.7439  0.4928  1 Y 3.11, 2 Sm 3.14, 3 Ce 3.17-3.20
Te  0.7536  0.2561  0.5072  1 Y 3.11, 2 Sm 3.14, 3 Ce 3.17-3.20
Sm  0.0000  0.5000  0.5000  6 Te 3.14
Te  0.7488  0.7463  0.4976  3 Sm 3.14, 3 Ce 3.17
Sm  0.5000  0.5000  0.0000  6 Te 3.14

Properties
spin magnetization = 4.9 μB/cell
energy relative to the elements, uncorrected = -22.0 eV/f.u.
Fermi-level density of states = 30.8 states/eV/f.u.

=====

Q: Which of these has the highest spin magnetization?
A: LiTm2Pu